CsTlOs | PBE | optimized geometry

ρ: 10.03 g/cm3
E: -39.343 eV per cell

Cell: 7.043 7.043 7.043 Å, 90.00 90.00 90.00°
Space group F-43m (No. 216)
Asymmetric unit:
Cs 0.000 0.000 0.000
Tl 0.000 0.000 0.500
Os 0.250 0.250 0.250